Version i
The following is a DFT calculation (PBE) of crystalline KBaCa2Pd at its relaxed geometry.

Summary:
Symmetry: P4/mmm (123)
M_tot (μB per atom): 0.000

a = 5.895 Å, b = 5.895 Å, c = 6.280 Å
α = 90.00°, β = 90.00°, γ = 90.00°
Element x y z (fractional)
1 K 0.000 0.000 0.000
2 Ba 0.500 0.500 0.000
3 Ca 0.000 0.500 0.500
4 Ca 0.500 0.000 0.500
5 Pd 0.500 0.500 0.500



Version ii
The following is a DFT calculation (PBE) of crystalline KBaCa2Pd at its relaxed geometry.

Summary:
Symmetry: P4/mmm (123)
M_tot (μB per atom): 0.000

a = 5.753 Å, b = 5.753 Å, c = 6.452 Å
α = 90.00°, β = 90.00°, γ = 90.00°
Element x y z (fractional)
1 K 0.000 0.000 0.000
2 Ba 0.500 0.500 0.000
3 Ca 0.000 0.500 0.500
4 Ca 0.500 0.000 0.500
5 Pd 0.000 0.000 0.500



version i wins, 136 meV per atom ahead of the next structure.



Version i
The following is a DFT calculation (PBE) of crystalline Ba2CaLa at its relaxed geometry.

Summary:
Symmetry: Fm-3m (225)
M_tot (μB per atom): 0.000

a = 9.247 Å, b = 9.247 Å, c = 9.247 Å
α = 90.00°, β = 90.00°, γ = 90.00°
Element x y z (fractional)
1 Ba 0.250 0.250 0.250
2 Ba 0.250 0.250 0.750
3 Ba 0.250 0.750 0.250
4 Ba 0.250 0.750 0.750
5 Ba 0.750 0.250 0.250
6 Ba 0.750 0.250 0.750
7 Ba 0.750 0.750 0.250
8 Ba 0.750 0.750 0.750
9 Ca 0.000 0.000 0.000
10 Ca 0.000 0.500 0.500
11 Ca 0.500 0.000 0.500
12 Ca 0.500 0.500 0.000
13 La 0.000 0.000 0.500
14 La 0.000 0.500 0.000
15 La 0.500 0.000 0.000
16 La 0.500 0.500 0.500



Version ii
The following is a DFT calculation (PBE) of crystalline Ba2CaLa at its relaxed geometry.

Summary:
Symmetry: I-4m2 (119)
M_tot (μB per atom): 0.096

a = 5.834 Å, b = 5.834 Å, c = 11.517 Å
α = 90.00°, β = 90.00°, γ = 90.00°
Element x y z (fractional)
1 Ba 0.000 0.000 0.000
2 Ba 0.000 0.500 0.250
3 Ba 0.500 0.000 0.750
4 Ba 0.500 0.500 0.500
5 Ca 0.000 0.500 0.750
6 Ca 0.500 0.000 0.250
7 La 0.000 0.000 0.500
8 La 0.500 0.500 0.000



Version iii
The following is a DFT calculation (PBE) of crystalline Ba2CaLa at its relaxed geometry.

Summary:
Symmetry: P4/mmm (123)
M_tot (μB per atom): 0.000

a = 6.554 Å, b = 6.554 Å, c = 4.569 Å
α = 90.00°, β = 90.00°, γ = 90.00°
Element x y z (fractional)
1 Ba 0.000 0.500 0.000
2 Ba 0.500 0.000 0.000
3 Ca 0.000 0.000 0.500
4 La 0.500 0.500 0.500



version iii wins, 15 meV per atom ahead of the next structure.



Version i
The following is a DFT calculation (PBE) of crystalline Ba2CaLa at its relaxed geometry.

Summary:
Symmetry: P4mm (99)
M_tot (μB per atom): 0.000

a = 4.370 Å, b = 4.370 Å, c = 10.582 Å
α = 90.00°, β = 90.00°, γ = 90.00°
Element x y z (fractional)
1 Ba 0.000 0.000 0.000
2 Ba 0.500 0.500 0.311
3 Ca 0.000 0.000 0.558
4 La 0.500 0.500 0.748



Version ii
The following is a DFT calculation (PBE) of crystalline Ba2CaLa at its relaxed geometry.

Summary:
Symmetry: I-42d (122)
M_tot (μB per atom): 0.236

a = 5.320 Å, b = 5.320 Å, c = 27.666 Å
α = 90.00°, β = 90.00°, γ = 90.00°
Element x y z (fractional)
1 Ba 0.249 0.250 0.125
2 Ba 0.250 0.749 0.375
3 Ba 0.250 0.751 0.875
4 Ba 0.251 0.250 0.625
5 Ba 0.749 0.750 0.625
6 Ba 0.750 0.249 0.875
7 Ba 0.750 0.251 0.375
8 Ba 0.751 0.750 0.125
9 Ca 0.000 0.000 0.000
10 Ca 0.000 0.500 0.250
11 Ca 0.500 0.000 0.750
12 Ca 0.500 0.500 0.500
13 La 0.000 0.000 0.500
14 La 0.000 0.500 0.750
15 La 0.500 0.000 0.250
16 La 0.500 0.500 0.000



Version iii
The following is a DFT calculation (PBE) of crystalline Ba2CaLa at its relaxed geometry.

Summary:
Symmetry: Cm (8)
M_tot (μB per atom): 0.015

a = 13.754 Å, b = 4.056 Å, c = 7.144 Å
α = 90.00°, β = 100.97°, γ = 90.00°
Element x y z (fractional)
1 Ba 0.000 0.000 0.000
2 Ba 0.240 0.000 0.724
3 Ba 0.500 0.500 0.000
4 Ba 0.740 0.500 0.724
5 Ca 0.255 0.500 0.250
6 Ca 0.755 0.000 0.250
7 La 0.494 0.000 0.488
8 La 0.994 0.500 0.488



version i wins, 45 meV per atom ahead of the next structure.



Version i
The following is a DFT calculation (PBE) of crystalline Ba2CaLa at its relaxed geometry.

Summary:
Symmetry: P2/m (10)
M_tot (μB per atom): 0.000

a = 3.948 Å, b = 6.439 Å, c = 7.838 Å
α = 90.00°, β = 102.02°, γ = 90.00°
Element x y z (fractional)
1 Ba 0.240 0.000 0.247
2 Ba 0.760 0.000 0.753
3 Ca 0.000 0.500 0.500
4 La 0.500 0.500 0.000



Version ii
The following is a DFT calculation (PBE) of crystalline Ba2CaLa at its relaxed geometry.

Summary:
Symmetry: Pm (6)
M_tot (μB per atom): 0.000

a = 3.946 Å, b = 6.516 Å, c = 7.694 Å
α = 90.00°, β = 100.23°, γ = 90.00°
Element x y z (fractional)
1 Ba 0.000 0.000 0.000
2 Ba 0.210 0.500 0.720
3 Ca 0.732 0.500 0.243
4 La 0.496 0.000 0.480



version ii wins, 12 meV per atom ahead of the next structure.